1.
DFT (PBE) results for a relaxed structure of NdSmCdAg.

```
NdSmCdAg
1.0
3.784 0.000 0.000
0.000 3.784 0.000
0.000 0.000 7.565
Nd Sm Cd Ag
1 1 1 1
direct
0.000 0.000 0.000
0.000 0.000 0.486
0.500 0.500 0.738
0.500 0.500 0.252
```

Computed properties:
The space group is P4mm.



2.
DFT (PBE) results for a relaxed structure of NdThCdAg.

```
NdThCdAg
1.0
0.000 3.798 3.798
3.798 0.000 3.798
3.798 3.798 0.000
Nd Th Cd Ag
1 1 1 1
direct
0.000 0.000 0.000
0.500 0.500 0.500
0.750 0.750 0.750
0.250 0.250 0.250
```

Computed properties:
The space group is F-43m.



3.
DFT (PBE) results for a relaxed structure of Nd4Tl2CdAg.

```
Nd4Tl2CdAg
1.0
2.731 1.577 8.925
-2.731 1.577 8.925
0.000 -3.154 8.925
Nd Tl Cd Ag
4 2 1 1
direct
0.122 0.122 0.122
0.372 0.372 0.372
0.628 0.628 0.628
0.878 0.878 0.878
0.248 0.248 0.248
0.752 0.752 0.752
0.500 0.500 0.500
0.000 0.000 0.000
```

Computed properties:
The space group is R-3m.



4.
DFT (PBE) results for a relaxed structure of Nd4TlCdAg2.

```
Nd4TlCdAg2
1.0
2.700 1.559 8.856
-2.700 1.559 8.856
0.000 -3.118 8.856
Nd Tl Cd Ag
4 1 1 2
direct
0.124 0.124 0.124
0.374 0.374 0.374
0.626 0.626 0.626
0.876 0.876 0.876
0.500 0.500 0.500
0.000 0.000 0.000
0.252 0.252 0.252
0.748 0.748 0.748
```

Computed properties:
The space group is R-3m.



no.,formation enthalpy at 0 K (meV/atom),total moment (μB per formula unit)
1,-291,0.300
2,-126,0.008
3,-342,1.462
4,-295,1.037